A plane-wave DFT calculation with PBE was carried out for a relaxed SnMoSe2 crystal.

The structure in POSCAR format:
```
SnMoSe2
1.0
1.9236 0.0000 9.4898
-0.9618 1.6659 9.4898
-0.9618 -1.6659 9.4898
Mo Se Sn
1 2 1
Direct
0.5000 0.5000 0.5000 Mo
0.1067 0.1067 0.1067 Se
0.8933 0.8933 0.8933 Se
0.0000 0.0000 0.0000 Sn
```

## Properties
E_form (uncorrected)   -0.27 eV per atom
Symmetry   R-3m
Calculated volume   91.2 Å³/cell